[1]
Density functional theory data (PBE) for an optimized crystal structure of ScGa2FePt4.

```
ScGa2FePt4
1.0
4.438 0.000 0.000
0.000 4.438 0.000
0.000 0.000 6.331
Sc Ga Fe Pt
1 2 1 4
direct
0.000 0.000 0.000 Sc
0.000 0.000 0.500 Ga
0.500 0.500 0.000 Ga
0.500 0.500 0.500 Fe
0.000 0.500 0.265 Pt
0.000 0.500 0.735 Pt
0.500 0.000 0.265 Pt
0.500 0.000 0.735 Pt
```

Properties
Total moment = 3.1 μB/cell
E_tot = -6.264 eV per atom


[2]
Density functional theory data (PBE) for an optimized crystal structure of NaLaHg.

```
NaLaHg
1.0
0.000 3.592 3.592
3.592 0.000 3.592
3.592 3.592 0.000
Na La Hg
1 1 1
direct
0.000 0.000 0.000 Na
0.250 0.250 0.250 La
0.750 0.750 0.750 Hg
```

Properties
Total moment = 0.7 μB/cell
E_tot = -1.996 eV per atom


[3]
Density functional theory data (PBE) for an optimized crystal structure of AcNpW.

```
AcNpW
1.0
0.000 3.390 3.390
3.390 0.000 3.390
3.390 3.390 0.000
Ac Np W
1 1 1
direct
0.000 0.000 0.000 Ac
0.750 0.750 0.750 Np
0.250 0.250 0.250 W
```

Properties
Total moment = 3.7 μB/cell
Energy relative to the elements = 1.9009 eV per atom
E_tot = -8.044 eV per atom


[4]
Density functional theory data (PBE) for an optimized crystal structure of WN.

```
WN
1.0
2.870 0.000 0.000
-1.435 2.485 0.000
0.000 0.000 2.896
W N
1 1
direct
0.000 0.000 0.000 W
0.333 0.667 0.500 N
```

Properties
Total moment = 0.0 μB/cell
E_tot = -10.718 eV per atom


[5]
Density functional theory data (PBE) for an optimized crystal structure of LaPrCu4.

```
LaPrCu4
1.0
-2.190 3.591 3.762
2.190 -3.591 3.762
2.190 3.591 -3.762
La Pr Cu
1 1 4
direct
0.000 0.000 0.000 La
0.572 0.072 0.500 Pr
0.168 0.371 0.797 Cu
0.406 0.702 0.704 Cu
0.575 0.371 0.203 Cu
0.998 0.702 0.296 Cu
```

Properties
Total moment = 0.0 μB/cell
Energy relative to the elements = -0.2030 eV per atom
E_tot = -4.297 eV per atom


[6]
Density functional theory data (PBE) for an optimized crystal structure of PmPrNdO3.

```
PmPrNdO3
1.0
3.547 0.000 0.000
-1.774 3.072 0.000
0.000 0.000 8.695
Pm Pr Nd O
1 1 1 3
direct
0.000 0.000 0.000 Pm
0.333 0.667 0.666 Pr
0.667 0.333 0.331 Nd
0.000 0.000 0.494 O
0.333 0.667 0.160 O
0.667 0.333 0.843 O
```

Properties
Total moment = 0.0 μB/cell
E_tot = -7.587 eV per atom